First-principles (PBE) data for a relaxed structure of PmAgSbRh, as listed in Alexandria via LeMat-Bulk.

The calculation puts the formation energy from raw total energies at -11.1 kcal/mol of atoms.

It has space group F-43m (No. 216), with a = 6.936 Å, b = 6.936 Å, c = 6.936 Å, α = 90.00°, β = 90.00° and γ = 90.00°. The asymmetric unit holds Pm at (0.000, 0.000, 0.000), Ag at (0.250, 0.250, 0.750), Sb at (0.000, 0.000, 0.500) and Rh at (0.250, 0.250, 0.250).